Cs3Rb3ZnCoO5: optimized geometry, GGA+U.

Geometry as extended XYZ:
```
13
Lattice="3.605 -6.068 0.000 3.605 6.068 0.000 -0.593 0.000 7.041" Properties=species:S:1:pos:R:3 pbc="T T T"
Cs 0.000 0.000 0.000
Cs 2.089 2.924 4.743
Cs 2.089 -2.924 4.743
Rb 2.410 2.608 1.270
Rb 2.410 -2.608 1.270
Rb 4.841 0.000 2.576
Zn 0.911 0.000 3.377
Co 3.487 0.000 6.105
O 3.734 4.438 2.764
O 2.563 0.000 4.385
O 3.994 1.614 6.792
O 3.994 -1.614 6.792
O 3.734 -4.438 2.764
```

Computed properties:
**Space group**: Cm (8)
**Total magnetization**: 3.0 μB per formula unit
**Final energy**: -0.293 Ry per atom
**Excess energy over the best structure of this formula in the dataset**: 0 meV per atom